# 1
# Ca2ZnNi

A relaxed Ca2ZnNi crystal (PBE-GGA, Alexandria via LeMat-Bulk).

Cell: 6.045 6.045 6.045 Å, 144.84 132.77 60.23°
Fractional coordinates of all 4 atoms:
Ca: 0.723 0.223 0.500
Ca: 0.012 0.012 0.000
Zn: 0.307 0.807 0.500
Ni: 0.458 0.458 0.000

Computed properties:
For the formation energy, the calculation gives -0.372 eV per formula unit.


# 2
# Hg4OF5

A relaxed Hg4OF5 crystal (PBE-GGA, Alexandria via LeMat-Bulk).

Cell: 3.719 6.384 7.881 Å, 113.72 103.65 90.00°
Fractional coordinates of all 10 atoms:
F: 0.500 0.500 0.000
F: 0.826 0.578 0.652
F: 0.826 0.071 0.652
F: 0.174 0.929 0.348
F: 0.174 0.422 0.348
O: 0.500 0.000 0.000
Hg: 0.000 0.244 0.999
Hg: 0.691 0.192 0.382
Hg: 0.309 0.808 0.618
Hg: 0.000 0.756 0.001

Computed properties:
The formation energy without anion corrections is -1.071 eV per atom.


# 3
# AgHF3

A relaxed AgHF3 crystal (PBE-GGA, Alexandria via LeMat-Bulk).

Cell: 4.187 4.187 4.187 Å, 90.00 90.00 90.00°
Fractional coordinates of all 5 atoms:
F: 0.000 0.000 0.500
F: 0.000 0.500 0.000
F: 0.500 0.000 0.000
H: 0.500 0.500 0.500
Ag: 0.000 0.000 0.000

Computed properties:
The value obtained for the energy above the most stable polymorph in this dataset is 854.9 meV/atom.


# 4
# Cd4AsS2Br

A relaxed Cd4AsS2Br crystal (PBE-GGA, Alexandria via LeMat-Bulk).

Cell: 8.030 8.030 8.127 Å, 120.39 120.39 90.05°
Fractional coordinates of all 16 atoms:
Cd: 0.722 0.228 0.475
Cd: 0.739 0.761 0.499
Cd: 0.739 0.761 0.001
Cd: 0.261 0.239 0.501
Cd: 0.272 0.778 0.025
Cd: 0.261 0.239 0.999
Cd: 0.728 0.222 0.975
Cd: 0.278 0.772 0.525
As: 0.500 0.500 0.500
As: 0.000 0.000 0.000
Br: 0.000 0.500 0.000
Br: 0.000 0.500 0.500
S: 0.500 0.000 0.500
S: 0.000 0.000 0.500
S: 0.500 0.000 0.000
S: 0.500 0.500 0.000

Computed properties:
The formation energy without anion corrections is -0.354 eV per atom.


# 5
# AlFe3Sb

A relaxed AlFe3Sb crystal (PBE-GGA, Alexandria via LeMat-Bulk).

Cell: 4.376 4.376 4.376 Å, 90.00 90.00 90.00°
Fractional coordinates of all 5 atoms:
Fe: 0.000 0.000 0.500
Fe: 0.500 0.000 0.000
Fe: 0.000 0.500 0.000
Al: 0.000 0.000 0.000
Sb: 0.500 0.500 0.500

Computed properties:
The value obtained for the energy above the most stable polymorph in this dataset is 0.0 meV/atom. The formation energy without anion corrections is 0.835 eV per atom.


# 6
# SrPmTl4

A relaxed SrPmTl4 crystal (PBE-GGA, Alexandria via LeMat-Bulk).

Cell: 4.952 4.952 8.891 Å, 89.42 89.61 89.93°
Fractional coordinates of all 6 atoms:
Sr: 0.501 0.497 0.998
Tl: 0.004 0.494 0.724
Tl: 0.504 0.993 0.272
Tl: 0.998 0.500 0.272
Tl: 0.499 0.002 0.725
Pm: 0.002 0.997 0.498

Computed properties:
The value obtained for the energy above the most stable polymorph in this dataset is 128.6 meV/atom. For the formation energy, the calculation gives -0.195 eV per formula unit.


# 7
# Dy7Sc

A relaxed Dy7Sc crystal (PBE-GGA, Alexandria via LeMat-Bulk).

Cell: 3.484 8.621 8.621 Å, 79.67 78.32 78.33°
Fractional coordinates of all 8 atoms:
Dy: 0.631 0.135 0.603
Dy: 0.000 0.500 0.500
Dy: 0.631 0.603 0.135
Dy: 0.369 0.865 0.397
Dy: 0.736 0.764 0.764
Dy: 0.264 0.236 0.236
Dy: 0.369 0.397 0.865
Sc: 0.000 0.000 0.000

Computed properties:
The value obtained for the energy above the most stable polymorph in this dataset is 37.6 meV/atom. For the formation energy, the calculation gives 0.559 eV per formula unit.


# 8
# TlGaPb6

A relaxed TlGaPb6 crystal (PBE-GGA, Alexandria via LeMat-Bulk).

Cell: 6.777 6.777 7.971 Å, 108.27 108.27 119.51°
Fractional coordinates of all 8 atoms:
Pb: 0.720 0.720 0.263
Pb: 0.706 0.219 0.266
Pb: 0.219 0.706 0.266
Pb: 0.280 0.280 0.737
Pb: 0.781 0.294 0.734
Pb: 0.294 0.781 0.734
Ga: 0.500 0.500 0.500
Tl: 0.000 0.000 0.000

Computed properties:
The value obtained for the energy above the most stable polymorph in this dataset is 60.2 meV/atom. For the formation energy, the calculation gives 0.703 eV per formula unit.


# 9
# SmDy2Rh

A relaxed SmDy2Rh crystal (PBE-GGA, Alexandria via LeMat-Bulk).

Cell: 5.283 5.283 5.082 Å, 58.68 58.68 60.00°
Fractional coordinates of all 4 atoms:
Dy: 0.243 0.243 0.272
Dy: 0.757 0.757 0.728
Rh: 0.000 0.000 0.000
Sm: 0.500 0.500 0.500

Computed properties:
The value obtained for the energy above the most stable polymorph in this dataset is 429.9 meV/atom. For the formation energy, the calculation gives -0.309 eV per formula unit.


# 10
# InRe2Sn

A relaxed InRe2Sn crystal (PBE-GGA, Alexandria via LeMat-Bulk).

Cell: 4.626 4.626 4.626 Å, 60.00 60.00 60.00°
Fractional coordinates of all 4 atoms:
In: 0.000 0.000 0.000
Re: 0.750 0.750 0.750
Re: 0.250 0.250 0.250
Sn: 0.500 0.500 0.500

Computed properties:
The value obtained for the energy above the most stable polymorph in this dataset is 0.0 meV/atom. For the formation energy, the calculation gives 2.999 eV per formula unit.


# 11
# NiAsSe2N

A relaxed NiAsSe2N crystal (PBE-GGA, Alexandria via LeMat-Bulk).

Cell: 4.968 4.968 3.437 Å, 90.00 90.00 90.00°
Fractional coordinates of all 5 atoms:
Ni: 0.000 0.000 0.000
As: 0.500 0.500 0.500
N: 0.000 0.000 0.500
Se: 0.000 0.500 0.000
Se: 0.500 0.000 0.000

Computed properties:
The value obtained for the energy above the most stable polymorph in this dataset is 0.0 meV/atom. The formation energy without anion corrections is 0.583 eV per atom.


# 12
# Na2Tb2PdO6

A relaxed Na2Tb2PdO6 crystal (PBE-GGA, Alexandria via LeMat-Bulk).

Cell: 5.787 5.787 5.873 Å, 97.01 97.01 120.22°
Fractional coordinates of all 11 atoms:
Na: 0.142 0.858 0.000
Na: 0.858 0.142 0.000
Tb: 0.337 0.663 0.500
Tb: 0.663 0.337 0.500
O: 0.040 0.354 0.693
O: 0.960 0.646 0.307
O: 0.646 0.960 0.307
O: 0.354 0.040 0.693
O: 0.248 0.248 0.297
O: 0.752 0.752 0.703
Pd: 0.000 0.000 0.500

Computed properties:
The formation energy without anion corrections is -2.096 eV per atom.